No. 1
# KMg3Cu

A geometry-optimized KMg3Cu structure (PBE, the Alexandria database).

```
data_KMg3Cu
_chemical_formula_sum 'K1 Mg3 Cu1'
_space_group_name_H-M_alt 'P m -3 m'
_space_group_IT_number 221
_space_group_name_Hall '-P 4 2 3'
_cell_length_a 6.485
_cell_length_b 6.485
_cell_length_c 6.485
_cell_angle_alpha 90.00
_cell_angle_beta 90.00
_cell_angle_gamma 90.00
loop_
_atom_site_label
_atom_site_type_symbol
_atom_site_fract_x
_atom_site_fract_y
_atom_site_fract_z
K1 K 0.000 0.000 0.000
Mg1 Mg 0.000 0.000 0.500
Cu1 Cu 0.500 0.500 0.500
```

ΔH_f (0 K) ... 1.287 eV/atom

***

No. 2
# Ag3Se2S8

A geometry-optimized Ag3Se2S8 structure (PBE, the Alexandria database).

```
data_Ag3Se2S8
_chemical_formula_sum 'Ag3 Se2 S8'
_space_group_name_H-M_alt 'P 1'
_space_group_IT_number 1
_cell_length_a 6.887
_cell_length_b 7.119
_cell_length_c 8.362
_cell_angle_alpha 88.59
_cell_angle_beta 68.18
_cell_angle_gamma 80.44
loop_
_space_group_symop_operation_xyz
'x,y,z'
loop_
_atom_site_label
_atom_site_type_symbol
_atom_site_fract_x
_atom_site_fract_y
_atom_site_fract_z
Ag1 Ag 0.000 0.000 0.000
Ag2 Ag 0.221 0.086 0.348
Ag3 Ag 0.458 0.053 0.941
Se1 Se 0.812 0.578 0.830
Se2 Se 0.822 0.444 0.266
S1 S 0.016 0.669 0.578
S2 S 0.151 0.525 0.110
S3 S 0.266 0.121 0.745
S4 S 0.316 0.659 0.590
S5 S 0.384 0.343 0.147
S6 S 0.401 0.924 0.535
S7 S 0.709 0.822 0.020
S8 S 0.880 0.140 0.305
```

Formation energy (no corrections) ... 0.079 eV per atom

***

No. 3
# BaTl2Ru

A geometry-optimized BaTl2Ru structure (PBE, the Alexandria database).

```
data_BaTl2Ru
_chemical_formula_sum 'Ba2 Tl4 Ru2'
_space_group_name_H-M_alt 'I 4/m m m'
_space_group_IT_number 139
_space_group_name_Hall '-I 4 2'
_cell_length_a 4.862
_cell_length_b 4.862
_cell_length_c 9.082
_cell_angle_alpha 90.00
_cell_angle_beta 90.00
_cell_angle_gamma 90.00
loop_
_atom_site_label
_atom_site_type_symbol
_atom_site_fract_x
_atom_site_fract_y
_atom_site_fract_z
Ba1 Ba 0.000 0.000 0.000
Tl1 Tl 0.000 0.500 0.250
Ru1 Ru 0.000 0.000 0.500
```

ΔH_f (0 K) ... 0.372 eV/atom

***

No. 4
# Be2Zn2F

A geometry-optimized Be2Zn2F structure (PBE, the Alexandria database).

```
data_Be2Zn2F
_chemical_formula_sum 'Be4 Zn4 F2'
_space_group_name_H-M_alt 'P 4/m b m'
_space_group_IT_number 127
_space_group_name_Hall '-P 4 2ab'
_cell_length_a 6.902
_cell_length_b 6.902
_cell_length_c 2.518
_cell_angle_alpha 90.00
_cell_angle_beta 90.00
_cell_angle_gamma 90.00
loop_
_atom_site_label
_atom_site_type_symbol
_atom_site_fract_x
_atom_site_fract_y
_atom_site_fract_z
Be1 Be 0.107 0.393 0.000
Zn1 Zn 0.194 0.694 0.500
F1 F 0.000 0.000 0.000
```

Formation energy (no corrections) ... -0.168 eV per atom

***

No. 5
# Sc2IrI

A geometry-optimized Sc2IrI structure (PBE, the Alexandria database).

```
data_Sc2IrI
_chemical_formula_sum 'Sc8 Ir4 I4'
_space_group_name_H-M_alt 'F m -3 m'
_space_group_IT_number 225
_space_group_name_Hall '-F 4 2 3'
_cell_length_a 6.918
_cell_length_b 6.918
_cell_length_c 6.918
_cell_angle_alpha 90.00
_cell_angle_beta 90.00
_cell_angle_gamma 90.00
loop_
_atom_site_label
_atom_site_type_symbol
_atom_site_fract_x
_atom_site_fract_y
_atom_site_fract_z
Sc1 Sc 0.250 0.250 0.250
Ir1 Ir 0.000 0.000 0.000
I1 I 0.000 0.000 0.500
```

Formation energy (no corrections) ... -0.265 eV per atom

***

No. 6
# Ca2SbPbN

A geometry-optimized Ca2SbPbN structure (PBE, the Alexandria database).

```
data_Ca2SbPbN
_chemical_formula_sum 'Ca2 Sb1 Pb1 N1'
_space_group_name_H-M_alt 'P 4/m m m'
_space_group_IT_number 123
_space_group_name_Hall '-P 4 2'
_cell_length_a 4.907
_cell_length_b 4.907
_cell_length_c 4.998
_cell_angle_alpha 90.00
_cell_angle_beta 90.00
_cell_angle_gamma 90.00
loop_
_atom_site_label
_atom_site_type_symbol
_atom_site_fract_x
_atom_site_fract_y
_atom_site_fract_z
Ca1 Ca 0.000 0.500 0.000
Sb1 Sb 0.000 0.000 0.500
Pb1 Pb 0.500 0.500 0.500
N1 N 0.500 0.500 0.000
```

Formation energy (no corrections) ... -0.607 eV per atom